# 1
VASP calculation (PBE) on a geometry-optimized CeHoZnGa structure.

Unit cell a=5.0789 b=5.0789 c=5.0789 alpha=60.00 beta=60.00 gamma=60.00
Last column: nearest neighbours and their distance in Å.
Element x y z (fractional)
Ce 0.0000 0.0000 0.0000  4 Zn 3.11, 4 Ga 3.11
Ho 0.5000 0.5000 0.5000  4 Zn 3.11, 4 Ga 3.11
Zn 0.7500 0.7500 0.7500  4 Ce 3.11, 4 Ho 3.11
Ga 0.2500 0.2500 0.2500  4 Ce 3.11, 4 Ho 3.11

Computed properties:
E_form in eV/atom: -0.41
M_tot in μB/f.u.: 0.44



# 2
VASP calculation (PBE) on a geometry-optimized CdSnGeBi structure.

Unit cell a=5.2744 b=5.2744 c=5.2744 alpha=60.00 beta=60.00 gamma=60.00
Last column: nearest neighbours and their distance in Å.
Element x y z (fractional)
Cd 0.0000 0.0000 0.0000  4 Bi 3.23, 4 Sn 3.23
Sn 0.2500 0.2500 0.2500  4 Cd 3.23, 4 Ge 3.23
Ge 0.5000 0.5000 0.5000  4 Sn 3.23, 4 Bi 3.23
Bi 0.7500 0.7500 0.7500  4 Ge 3.23, 4 Cd 3.23

Computed properties:
E_form in eV/atom: 0.19
M_tot in μB/f.u.: 0.00



> The lowest M_tot belongs to which entry?

CdSnGeBi